VASP calculation (PBE) on a relaxed Sr2GaSiPd6 crystal.

abc: 6.570 6.570 7.940
angles: 124.61 124.61 52.13
Sites, in units of the cell vectors:
Sr 0.238 0.238 0.197
Sr 0.762 0.762 0.803
Ga 0.500 0.500 0.000
Si 0.000 0.000 0.500
Pd 0.238 0.725 0.716
Pd 0.249 0.249 0.628
Pd 0.275 0.762 0.284
Pd 0.725 0.238 0.716
Pd 0.751 0.751 0.372
Pd 0.762 0.275 0.284

Computed properties:
Calculated volume, Å³/atom: 20.96
Formation energy from raw total energies, eV per formula unit: -6.6
Space group: C2/m, No. 12
M_tot, μB per formula unit: 0.000
Fermi-level density of states, states/eV per cell: 3.082

VASP calculation (PBE) on a relaxed Tb3GaSi2Pd9 crystal.

abc: 5.714 5.714 10.781
angles: 90.00 90.00 120.00
Sites, in units of the cell vectors:
Tb 0.000 0.000 0.000
Tb 0.333 0.667 0.747
Tb 0.667 0.333 0.253
Ga 0.000 0.000 0.500
Si 0.333 0.667 0.166
Si 0.667 0.333 0.834
Pd 0.000 0.500 0.000
Pd 0.163 0.325 0.319
Pd 0.163 0.837 0.319
Pd 0.325 0.163 0.681
Pd 0.500 0.000 0.000
Pd 0.500 0.500 0.000
Pd 0.675 0.837 0.319
Pd 0.837 0.163 0.681
Pd 0.837 0.675 0.681

Computed properties:
Calculated volume, Å³/atom: 20.32
Formation energy from raw total energies, eV per formula unit: -9.9
Space group: P-3m1, No. 164
M_tot, μB per formula unit: 0.000
Fermi-level density of states, states/eV per cell: 8.427

VASP calculation (PBE) on a relaxed TbGa2SiPd4 crystal.

abc: 8.720 8.720 8.720
angles: 28.79 28.79 28.79
Sites, in units of the cell vectors:
Tb 0.000 0.000 0.000
Ga 0.253 0.253 0.253
Ga 0.747 0.747 0.747
Si 0.500 0.500 0.500
Pd 0.137 0.137 0.137
Pd 0.405 0.405 0.405
Pd 0.595 0.595 0.595
Pd 0.863 0.863 0.863

Computed properties:
Calculated volume, Å³/atom: 17.00
Formation energy from raw total energies, eV per formula unit: -5.5
Space group: R-3m, No. 166
M_tot, μB per formula unit: 0.000
Fermi-level density of states, states/eV per cell: 5.028

VASP calculation (PBE) on a relaxed Tb2GaSi4Pd3 crystal.

abc: 4.092 4.092 10.443
angles: 90.00 90.00 90.00
Sites, in units of the cell vectors:
Tb 0.000 0.500 0.249
Tb 0.500 0.000 0.751
Ga 0.000 0.000 0.500
Si 0.000 0.000 0.000
Si 0.000 0.500 0.644
Si 0.500 0.000 0.356
Si 0.500 0.500 0.000
Pd 0.000 0.500 0.872
Pd 0.500 0.000 0.128
Pd 0.500 0.500 0.500

Computed properties:
Calculated volume, Å³/atom: 17.48
Formation energy from raw total energies, eV per formula unit: -7.9
Space group: P-4m2, No. 115
M_tot, μB per formula unit: 0.000
Fermi-level density of states, states/eV per cell: 3.344

VASP calculation (PBE) on a relaxed Tm2GaSi2Pd5 crystal.

abc: 10.033 10.033 3.404
angles: 90.00 90.00 90.00
Sites, in units of the cell vectors:
Tm 0.177 0.323 0.000
Tm 0.323 0.823 0.000
Tm 0.677 0.177 0.000
Tm 0.823 0.677 0.000
Ga 0.000 0.000 0.000
Ga 0.500 0.500 0.000
Si 0.125 0.625 0.000
Si 0.375 0.125 0.000
Si 0.625 0.875 0.000
Si 0.875 0.375 0.000
Pd 0.000 0.500 0.500
Pd 0.053 0.795 0.500
Pd 0.205 0.053 0.500
Pd 0.295 0.553 0.500
Pd 0.447 0.295 0.500
Pd 0.500 0.000 0.500
Pd 0.553 0.705 0.500
Pd 0.705 0.447 0.500
Pd 0.795 0.947 0.500
Pd 0.947 0.205 0.500

Computed properties:
Calculated volume, Å³/atom: 17.13
Formation energy from raw total energies, eV per formula unit: -7.5
Space group: P4/mbm, No. 127
M_tot, μB per formula unit: 0.000
Fermi-level density of states, states/eV per cell: 14.567

VASP calculation (PBE) on a relaxed Y2GaSiPd6 crystal.

abc: 6.326 6.326 7.854
angles: 126.86 126.86 51.34
Sites, in units of the cell vectors:
Y 0.001 0.001 0.248
Y 0.999 0.999 0.752
Ga 0.500 0.500 0.000
Si 0.500 0.500 0.500
Pd 0.009 0.506 0.204
Pd 0.335 0.335 0.583
Pd 0.494 0.991 0.796
Pd 0.506 0.009 0.204
Pd 0.665 0.665 0.417
Pd 0.991 0.494 0.796

Computed properties:
Calculated volume, Å³/atom: 18.32
Formation energy from raw total energies, eV per formula unit: -7.4
Space group: C2/m, No. 12
M_tot, μB per formula unit: 0.000
Fermi-level density of states, states/eV per cell: 5.053

VASP calculation (PBE) on a relaxed YGa2SiPd4 crystal.

abc: 8.705 8.705 8.705
angles: 28.84 28.84 28.84
Sites, in units of the cell vectors:
Y 0.000 0.000 0.000
Ga 0.253 0.253 0.253
Ga 0.747 0.747 0.747
Si 0.500 0.500 0.500
Pd 0.137 0.137 0.137
Pd 0.405 0.405 0.405
Pd 0.595 0.595 0.595
Pd 0.863 0.863 0.863

Computed properties:
Calculated volume, Å³/atom: 16.96
Formation energy from raw total energies, eV per formula unit: -5.5
Space group: R-3m, No. 166
M_tot, μB per formula unit: 0.000
Fermi-level density of states, states/eV per cell: 4.961

VASP calculation (PBE) on a relaxed Y2GaSi3Pd4 crystal.

abc: 4.185 4.185 10.097
angles: 90.00 90.00 90.00
Sites, in units of the cell vectors:
Y 0.000 0.500 0.249
Y 0.500 0.000 0.751
Ga 0.500 0.500 0.000
Si 0.000 0.000 0.000
Si 0.000 0.500 0.629
Si 0.500 0.000 0.371
Pd 0.000 0.000 0.500
Pd 0.000 0.500 0.864
Pd 0.500 0.000 0.136
Pd 0.500 0.500 0.500

Computed properties:
Calculated volume, Å³/atom: 17.68
Formation energy from raw total energies, eV per formula unit: -8.9
Space group: P-4m2, No. 115
M_tot, μB per formula unit: 0.000
Fermi-level density of states, states/eV per cell: 5.581

VASP calculation (PBE) on a relaxed Zn2GaSi2Pd5 crystal.

abc: 10.228 10.228 2.962
angles: 90.00 90.00 90.00
Sites, in units of the cell vectors:
Zn 0.153 0.347 0.000
Zn 0.347 0.847 0.000
Zn 0.653 0.153 0.000
Zn 0.847 0.653 0.000
Ga 0.000 0.000 0.000
Ga 0.500 0.500 0.000
Si 0.140 0.640 0.000
Si 0.360 0.140 0.000
Si 0.640 0.860 0.000
Si 0.860 0.360 0.000
Pd 0.000 0.500 0.500
Pd 0.129 0.831 0.500
Pd 0.169 0.129 0.500
Pd 0.331 0.629 0.500
Pd 0.371 0.331 0.500
Pd 0.500 0.000 0.500
Pd 0.629 0.669 0.500
Pd 0.669 0.371 0.500
Pd 0.831 0.871 0.500
Pd 0.871 0.169 0.500

Computed properties:
Calculated volume, Å³/atom: 15.49
Formation energy from raw total energies, eV per formula unit: -4.3
Space group: P4/mbm, No. 127
M_tot, μB per formula unit: 0.000
Fermi-level density of states, states/eV per cell: 6.840

VASP calculation (PBE) on a relaxed Sm2Ga4Pd5 crystal.

abc: 9.160 8.328 5.527
angles: 79.99 63.55 36.46
Sites, in units of the cell vectors:
Sm 0.131 0.131 0.869
Sm 0.869 0.869 0.131
Ga 0.214 0.527 0.473
Ga 0.473 0.786 0.214
Ga 0.527 0.214 0.786
Ga 0.786 0.473 0.527
Pd 0.000 0.000 0.500
Pd 0.250 0.250 0.250
Pd 0.500 0.500 0.000
Pd 0.500 0.500 0.500
Pd 0.750 0.750 0.750

Computed properties:
Calculated volume, Å³/atom: 19.13
Total energy, eV/atom: -5.054
Space group: Fmmm, No. 69
M_tot, μB per formula unit: 0.000
Fermi-level density of states, states/eV per cell: 5.306

VASP calculation (PBE) on a relaxed Sm2GaPd crystal.

abc: 4.520 3.858 11.267
angles: 90.00 90.00 90.00
Sites, in units of the cell vectors:
Sm 0.000 0.000 0.000
Sm 0.000 0.500 0.500
Sm 0.500 0.000 0.283
Sm 0.500 0.500 0.783
Ga 0.500 0.000 0.566
Ga 0.500 0.500 0.066
Pd 0.000 0.000 0.714
Pd 0.000 0.500 0.214

Computed properties:
Calculated volume, Å³/atom: 24.56
Total energy, eV/atom: -5.103
Space group: Amm2, No. 38
M_tot, μB per formula unit: 0.000
Fermi-level density of states, states/eV per cell: 8.601

VASP calculation (PBE) on a relaxed Sm3Ga4Pd4 crystal.

abc: 13.563 13.563 13.563
angles: 163.70 161.36 24.86
Sites, in units of the cell vectors:
Sm 0.000 0.000 0.000
Sm 0.355 0.855 0.500
Sm 0.645 0.145 0.500
Ga 0.193 0.693 0.500
Ga 0.452 0.452 0.000
Ga 0.548 0.548 0.000
Ga 0.807 0.307 0.500
Pd 0.097 0.597 0.500
Pd 0.255 0.255 0.000
Pd 0.745 0.745 0.000
Pd 0.903 0.403 0.500

Computed properties:
Calculated volume, Å³/atom: 20.34
Total energy, eV/atom: -5.087
Space group: Immm, No. 71
M_tot, μB per formula unit: 0.000
Fermi-level density of states, states/eV per cell: 6.229

VASP calculation (PBE) on a relaxed SmGa3Pd3 crystal.

abc: 7.366 7.366 7.366
angles: 56.04 56.04 56.04
Sites, in units of the cell vectors:
Sm 0.161 0.161 0.161
Sm 0.839 0.839 0.839
Ga 0.038 0.234 0.601
Ga 0.234 0.601 0.038
Ga 0.399 0.962 0.766
Ga 0.601 0.038 0.234
Ga 0.766 0.399 0.962
Ga 0.962 0.766 0.399
Pd 0.193 0.422 0.672
Pd 0.328 0.807 0.578
Pd 0.422 0.672 0.193
Pd 0.578 0.328 0.807
Pd 0.672 0.193 0.422
Pd 0.807 0.578 0.328

Computed properties:
Excess energy over the best structure of this formula in the dataset, meV/atom: 74
Calculated volume, Å³/atom: 18.34
Space group: R-3, No. 148
M_tot, μB per formula unit: 0.000
Fermi-level density of states, states/eV per cell: 4.620

VASP calculation (PBE) on a relaxed Sm3Ga7Pd2 crystal.

abc: 4.283 4.281 13.557
angles: 90.00 98.99 90.00
Sites, in units of the cell vectors:
Sm 0.000 0.000 0.000
Sm 0.316 0.500 0.637
Sm 0.684 0.500 0.363
Ga 0.085 0.500 0.164
Ga 0.225 0.000 0.449
Ga 0.419 0.000 0.837
Ga 0.500 0.500 0.000
Ga 0.581 0.000 0.163
Ga 0.775 0.000 0.551
Ga 0.915 0.500 0.836
Pd 0.131 0.000 0.263
Pd 0.869 0.000 0.737

Computed properties:
Calculated volume, Å³/atom: 20.46
Total energy, eV/atom: -4.494
Space group: P2/m, No. 10
M_tot, μB per formula unit: 0.000
Fermi-level density of states, states/eV per cell: 7.067

VASP calculation (PBE) on a relaxed SmGaPd crystal.

abc: 6.565 6.565 6.565
angles: 90.00 90.00 90.00
Sites, in units of the cell vectors:
Sm 0.000 0.000 0.000
Sm 0.000 0.500 0.500
Sm 0.500 0.000 0.500
Sm 0.500 0.500 0.000
Ga 0.000 0.000 0.500
Ga 0.000 0.500 0.000
Ga 0.500 0.000 0.000
Ga 0.500 0.500 0.500
Pd 0.250 0.250 0.250
Pd 0.250 0.750 0.750
Pd 0.750 0.250 0.750
Pd 0.750 0.750 0.250

Computed properties:
Calculated volume, Å³/atom: 23.58
Total energy, eV/atom: -4.938
Space group: F-43m, No. 216
M_tot, μB per formula unit: 0.001
Fermi-level density of states, states/eV per cell: 16.803

VASP calculation (PBE) on a relaxed SmGa3Pd3 crystal.

abc: 6.792 6.792 6.792
angles: 90.00 90.00 90.00
Sites, in units of the cell vectors:
Sm 0.000 0.000 0.000
Sm 0.500 0.500 0.500
Ga 0.000 0.250 0.500
Ga 0.000 0.750 0.500
Ga 0.250 0.500 0.000
Ga 0.500 0.000 0.250
Ga 0.500 0.000 0.750
Ga 0.750 0.500 0.000
Pd 0.000 0.500 0.250
Pd 0.000 0.500 0.750
Pd 0.250 0.000 0.500
Pd 0.500 0.250 0.000
Pd 0.500 0.750 0.000
Pd 0.750 0.000 0.500

Computed properties:
Excess energy over the best structure of this formula in the dataset, meV/atom: 381
Calculated volume, Å³/atom: 22.38
Space group: Pm-3n, No. 223
M_tot, μB per formula unit: 0.000
Fermi-level density of states, states/eV per cell: 9.489

VASP calculation (PBE) on a relaxed SmGa9Pd2 crystal.

abc: 8.790 8.790 8.790
angles: 98.11 98.11 135.89
Sites, in units of the cell vectors:
Sm 0.375 0.625 0.750
Sm 0.625 0.375 0.250
Ga 0.107 0.549 0.318
Ga 0.107 0.788 0.557
Ga 0.125 0.875 0.250
Ga 0.212 0.269 0.318
Ga 0.212 0.893 0.943
Ga 0.269 0.212 0.818
Ga 0.269 0.451 0.057
Ga 0.451 0.269 0.557
Ga 0.451 0.893 0.182
Ga 0.549 0.107 0.818
Ga 0.549 0.731 0.443
Ga 0.731 0.549 0.943
Ga 0.731 0.788 0.182
Ga 0.788 0.107 0.057
Ga 0.788 0.731 0.682
Ga 0.875 0.125 0.750
Ga 0.893 0.212 0.443
Ga 0.893 0.451 0.682
Pd 0.000 0.000 0.000
Pd 0.000 0.000 0.500
Pd 0.000 0.500 0.000
Pd 0.500 0.000 0.500

Computed properties:
Calculated volume, Å³/atom: 18.26
Total energy, eV/atom: -3.859
Space group: I4_1/amd, No. 141
M_tot, μB per formula unit: 0.000
Fermi-level density of states, states/eV per cell: 8.182

VASP calculation (PBE) on a relaxed SmGa9Pd3 crystal.

abc: 6.951 6.951 6.864
angles: 98.49 98.49 132.98
Sites, in units of the cell vectors:
Sm 0.000 0.000 0.000
Ga 0.000 0.000 0.500
Ga 0.003 0.645 0.655
Ga 0.295 0.509 0.790
Ga 0.355 0.997 0.345
Ga 0.491 0.705 0.210
Ga 0.509 0.295 0.790
Ga 0.645 0.003 0.655
Ga 0.705 0.491 0.210
Ga 0.997 0.355 0.345
Pd 0.000 0.500 0.000
Pd 0.500 0.000 0.000
Pd 0.500 0.500 0.500

Computed properties:
Calculated volume, Å³/atom: 17.34
Total energy, eV/atom: -4.100
Space group: C2/m, No. 12
M_tot, μB per formula unit: 0.000
Fermi-level density of states, states/eV per cell: 3.610

VASP calculation (PBE) on a relaxed Sm2Ga3Pd crystal.

abc: 3.767 4.411 7.789
angles: 90.00 90.00 90.00
Sites, in units of the cell vectors:
Sm 0.000 0.000 0.000
Sm 0.000 0.500 0.484
Ga 0.500 0.000 0.658
Ga 0.500 0.500 0.158
Ga 0.500 0.500 0.827
Pd 0.500 0.000 0.327

Computed properties:
Calculated volume, Å³/atom: 21.57
Total energy, eV/atom: -4.708
Space group: Pmm2, No. 25
M_tot, μB per formula unit: 0.000
Fermi-level density of states, states/eV per cell: 2.766

VASP calculation (PBE) on a relaxed Sm3GaPd12 crystal.

abc: 4.150 4.150 16.154
angles: 90.00 90.00 90.00
Sites, in units of the cell vectors:
Sm 0.000 0.000 0.000
Sm 0.000 0.000 0.259
Sm 0.000 0.000 0.741
Ga 0.000 0.000 0.500
Pd 0.000 0.500 0.130
Pd 0.000 0.500 0.390
Pd 0.000 0.500 0.610
Pd 0.000 0.500 0.870
Pd 0.500 0.000 0.130
Pd 0.500 0.000 0.390
Pd 0.500 0.000 0.610
Pd 0.500 0.000 0.870
Pd 0.500 0.500 0.000
Pd 0.500 0.500 0.260
Pd 0.500 0.500 0.500
Pd 0.500 0.500 0.740

Computed properties:
Calculated volume, Å³/atom: 17.39
Total energy, eV/atom: -5.686
Space group: P4/mmm, No. 123
M_tot, μB per formula unit: 0.000
Fermi-level density of states, states/eV per cell: 11.915